YLuZnSn (PBE, relaxed); mass density = 7.74 Mg/m³; M_tot = 0.00 μB per cell; space group = F-43m; E_tot = -4.54 eV/atom; DFT formation energy = -11.0 kcal/mol of atoms
1.0
5.141 0.000 0.000
2.570 4.452 0.000
2.570 1.484 4.198
Zn Y Sn Lu
1 1 1 1
Direct
0.250 0.250 0.250
0.500 0.500 0.500
0.750 0.750 0.750
0.000 0.000 0.000

Lu2ZnSn (PBE, relaxed); mass density = 9.47 Mg/m³; M_tot = 0.00 μB per cell; space group = P4/mmm; E_tot = -4.02 eV/atom; DFT formation energy = -10.1 kcal/mol of atoms
1.0
-1.031 -0.115 -3.961
0.398 -4.765 0.035
-4.611 -0.376 1.211
Lu Zn Sn
2 1 1
Direct
0.000 0.500 0.000
0.000 0.000 0.500
0.500 0.500 0.500
0.500 0.000 0.000

LuZn2Sn (PBE, relaxed); mass density = 8.81 Mg/m³; M_tot = 0.00 μB per cell; space group = P4/mmm; E_tot = -3.12 eV/atom; DFT formation energy = -8.0 kcal/mol of atoms
1.0
4.339 0.000 0.000
0.000 4.295 0.000
0.000 0.000 4.295
Zn Sn Lu
2 1 1
Direct
0.000 0.500 0.000
0.000 0.000 0.500
0.500 0.000 0.000
0.500 0.500 0.500

Lu2ZnSn (PBE, relaxed); mass density = 8.22 Mg/m³; M_tot = 0.00 μB per cell; space group = R-3m; E_tot = -3.59 eV/atom; DFT formation energy = -0.2 kcal/mol of atoms
1.0
3.426 0.000 0.000
1.713 2.967 0.000
1.713 0.989 10.611
Lu Sn Zn
2 1 1
Direct
0.903 0.903 0.291
0.097 0.097 0.709
0.000 0.000 0.000
0.500 0.500 0.500

LuZn2Sn (PBE, relaxed); mass density = 8.30 Mg/m³; M_tot = 0.00 μB per cell; space group = R-3m; E_tot = -2.95 eV/atom; DFT formation energy = -4.2 kcal/mol of atoms
1.0
-0.758 0.329 4.356
-3.883 -1.327 1.681
0.309 -4.917 2.681
Sn Zn Lu
1 2 1
Direct
0.500 0.500 0.500
0.762 0.762 0.713
0.238 0.238 0.287
0.000 0.000 0.000

LuZrSn2 (PBE, relaxed); mass density = 8.86 Mg/m³; M_tot = 0.00 μB per cell; space group = P4/mmm; E_tot = -5.71 eV/atom; DFT formation energy = -10.1 kcal/mol of atoms
1.0
4.353 0.000 0.000
0.000 4.657 0.000
0.000 0.000 4.657
Sn Lu Zr
2 1 1
Direct
0.000 0.000 0.500
0.000 0.500 0.000
0.500 0.500 0.500
0.500 0.000 0.000

LuZrSn2 (PBE, relaxed); mass density = 8.63 Mg/m³; M_tot = 0.00 μB per cell; space group = P4/mmm; E_tot = -5.70 eV/atom; DFT formation energy = -10.0 kcal/mol of atoms
1.0
-0.765 3.704 0.779
-3.755 -0.642 -0.634
-0.805 -1.485 6.273
Sn Lu Zr
2 1 1
Direct
0.000 0.000 0.234
0.000 0.000 0.766
0.500 0.500 0.500
0.500 0.500 0.000

LuZr2Sn (PBE, relaxed); mass density = 7.89 Mg/m³; M_tot = 0.02 μB per cell; space group = R-3m; E_tot = -6.28 eV/atom; DFT formation energy = 2.8 kcal/mol of atoms
1.0
-1.319 -2.212 -1.900
1.855 -2.132 -1.501
-0.752 -8.456 7.671
Sn Lu Zr
1 1 2
Direct
0.500 0.500 0.500
0.000 0.000 0.000
0.092 0.092 0.724
0.908 0.908 0.276

LuZr2Sn (PBE, relaxed); mass density = 8.45 Mg/m³; M_tot = 0.00 μB per cell; space group = P4/mmm; E_tot = -6.73 eV/atom; DFT formation energy = -7.6 kcal/mol of atoms
1.0
4.569 0.000 0.000
0.000 4.525 0.000
0.000 0.000 4.525
Zr Sn Lu
2 1 1
Direct
0.000 0.500 0.000
0.000 0.000 0.500
0.500 0.000 0.000
0.500 0.500 0.500

LuZrSn2 (PBE, relaxed); mass density = 8.54 Mg/m³; M_tot = 0.00 μB per cell; space group = R-3m; E_tot = -5.61 eV/atom; DFT formation energy = -7.9 kcal/mol of atoms
1.0
3.367 0.000 0.000
1.684 2.916 0.000
1.684 0.972 9.971
Zr Sn Lu
1 2 1
Direct
0.000 0.000 0.000
0.747 0.747 0.759
0.253 0.253 0.241
0.500 0.500 0.500

Sr6Lu (PBE, relaxed); mass density = 2.04 Mg/m³; M_tot = 0.00 μB per cell; space group = Im-3m; E_tot = -0.78 eV/atom; DFT formation energy = 30.2 kcal/mol of atoms
1.0
9.054 0.000 0.000
-3.018 8.536 0.000
-3.018 -4.268 7.392
Sr Lu
6 1
Direct
0.500 0.750 0.250
0.750 0.500 0.250
0.250 0.500 0.750
0.250 0.750 0.500
0.750 0.250 0.500
0.500 0.250 0.750
0.000 0.000 0.000

SrLu6 (PBE, relaxed); mass density = 6.20 Mg/m³; M_tot = 0.00 μB per cell; space group = Im-3m; E_tot = -2.72 eV/atom; DFT formation energy = 32.2 kcal/mol of atoms
1.0
7.343 0.000 0.000
-2.448 6.923 0.000
-2.448 -3.461 5.995
Sr Lu
1 6
Direct
0.000 0.000 0.000
0.750 0.250 0.500
0.500 0.750 0.250
0.750 0.500 0.250
0.250 0.750 0.500
0.250 0.500 0.750
0.500 0.250 0.750

Sr3Lu (PBE, relaxed); mass density = 3.90 Mg/m³; M_tot = 0.21 μB per cell; space group = Pmm2; E_tot = -2.09 eV/atom; DFT formation energy = 7.0 kcal/mol of atoms
1.0
-1.040 -3.400 -1.645
1.029 -1.819 3.110
-11.743 1.336 4.667
Sr Lu
3 1
Direct
0.000 0.500 0.463
0.500 0.000 0.722
0.500 0.500 0.180
0.000 0.000 0.968

SrLu5 (PBE, relaxed); mass density = 8.21 Mg/m³; M_tot = 0.02 μB per cell; space group = Cmmm; E_tot = -3.84 eV/atom; DFT formation energy = 4.8 kcal/mol of atoms
1.0
-1.293 3.431 -0.628
-4.608 -2.232 -2.706
-2.180 0.863 9.197
Sr Lu
1 5
Direct
0.000 0.000 0.000
0.000 0.347 0.694
0.500 0.500 0.000
0.500 0.190 0.379
0.500 0.810 0.621
0.000 0.653 0.306

Sr3Lu (PBE, relaxed); mass density = 3.93 Mg/m³; M_tot = 0.40 μB per cell; space group = I4/mmm; E_tot = -2.16 eV/atom; DFT formation energy = 5.4 kcal/mol of atoms
1.0
6.982 -0.024 0.000
2.363 6.570 0.000
-4.672 -3.273 4.025
Sr Lu
3 1
Direct
0.250 0.750 0.500
0.500 0.500 0.000
0.750 0.250 0.500
0.000 0.000 0.000